Record 1
This record from the Alexandria database describes a geometry-optimized AlIrOs2 structure. The functional is PBEsol.

Output
As for the total energy: -9.685 eV/atom. The calculation puts the formation energy at -0.099 eV/atom. As for the magnetic moment: 0.000 μB/atom.

Unit cell a=2.7245 b=4.0632 c=5.2245 alpha=90.00 beta=105.11 gamma=90.00
Last column: nearest neighbours and their distance in Å.
Atoms (fractional coordinates):
Os 0.0532 0.0000 0.1065  3 Al 2.55-2.84, 6 Os 2.64-2.72
Os 0.4540 0.5000 0.9080  2 Al 2.52, 3 Ir 2.63-2.77, 6 Os 2.64-2.72
Al 0.3060 0.0000 0.6120  3 Os 2.52-2.55, 4 Ir 2.61, 2 Al 2.72
Ir 0.7144 0.5000 0.4287  4 Al 2.61, 3 Os 2.63-2.77, 2 Ir 2.72

***

Record 2
This record from the Alexandria database describes a geometry-optimized AlIrOs2 structure. The functional is PBEsol.

Output
As for the total energy: -9.288 eV/atom. The calculation puts the formation energy at 0.299 eV/atom. As for the magnetic moment: 0.000 μB/atom.

Unit cell a=2.7204 b=2.7204 c=8.8143 alpha=90.00 beta=90.00 gamma=119.07
Last column: nearest neighbours and their distance in Å.
Atoms (fractional coordinates):
Ir 0.5000 0.5000 0.0000  4 Os 2.67, 6 Ir 2.72-2.76
Os 0.0000 0.0000 0.7400  2 Al 2.53, 2 Ir 2.67, 6 Os 2.72-2.76
Os 0.0000 0.0000 0.2600  2 Al 2.53, 2 Ir 2.67, 6 Os 2.72-2.76
Al 0.5000 0.5000 0.5000  4 Os 2.53, 6 Al 2.72-2.76

***

> Which formula does entry 2 have?

AlIrOs2

***

Copy entry 1 word for word.
This record from the Alexandria database describes a geometry-optimized AlIrOs2 structure. The functional is PBEsol.

Output
As for the total energy: -9.685 eV/atom. The calculation puts the formation energy at -0.099 eV/atom. As for the magnetic moment: 0.000 μB/atom.

Unit cell a=2.7245 b=4.0632 c=5.2245 alpha=90.00 beta=105.11 gamma=90.00
Last column: nearest neighbours and their distance in Å.
Atoms (fractional coordinates):
Os 0.0532 0.0000 0.1065  3 Al 2.55-2.84, 6 Os 2.64-2.72
Os 0.4540 0.5000 0.9080  2 Al 2.52, 3 Ir 2.63-2.77, 6 Os 2.64-2.72
Al 0.3060 0.0000 0.6120  3 Os 2.52-2.55, 4 Ir 2.61, 2 Al 2.72
Ir 0.7144 0.5000 0.4287  4 Al 2.61, 3 Os 2.63-2.77, 2 Ir 2.72

***

> Which of these has the lowest total energy?

number 1

***

> Among the records above, which one has the lowest total energy?

number 1